1.
Entry from Alexandria: an optimized crystal structure of LiYBi2 (GGA-PBE).

extended XYZ file:
```
8
Lattice="4.508 0.000 0.000 0.000 4.508 0.000 0.000 0.000 10.442" Properties=species:S:1:pos:R:3 pbc="T T T"
Bi 0.000 0.000 5.221
Bi 0.000 2.254 8.667
Bi 2.254 2.254 5.221
Bi 2.254 0.000 1.775
Li 2.254 2.254 0.000
Li 0.000 0.000 0.000
Y 2.254 0.000 7.728
Y 0.000 2.254 2.715
```

Properties
The value obtained for the formation energy is -0.62 eV per atom. The uncorrected energy comes out at -37.2 eV/cell. As for the calculated volume: 26.53 Å³ per atom. The energy relative to the lowest polymorph listed for this composition comes out at 0 meV per atom.

=====

2.
Entry from Alexandria: an optimized crystal structure of EuAgGe2 (GGA-PBE).

extended XYZ file:
```
4
Lattice="4.281 0.000 0.000 0.000 4.455 0.000 0.000 0.000 4.455" Properties=species:S:1:pos:R:3 pbc="T T T"
Ag 2.140 2.227 2.227
Ge 0.000 2.227 0.000
Ge 0.000 0.000 2.227
Eu 2.140 0.000 0.000
```

Properties
The value obtained for the formation energy is -0.25 eV per atom. The uncorrected energy comes out at -23.3 eV/cell. As for the calculated volume: 21.24 Å³ per atom.

=====

3.
Entry from Alexandria: an optimized crystal structure of Nd2BeGa (GGA-PBE).

extended XYZ file:
```
4
Lattice="-0.277 -1.553 4.878 2.112 -4.459 1.394 4.213 -0.039 2.921" Properties=species:S:1:pos:R:3 pbc="T T T"
Ga 3.024 -3.025 4.596
Nd 4.536 -4.538 6.894
Nd 1.512 -1.513 2.298
Be 0.000 0.000 0.000
```

Properties
The value obtained for the formation energy is -0.16 eV per atom. The uncorrected energy comes out at -16.9 eV/cell. As for the calculated volume: 23.82 Å³ per atom. The energy relative to the lowest polymorph listed for this composition comes out at 12 meV per atom.

=====

4.
Entry from Alexandria: an optimized crystal structure of Cu2SiCl8 (GGA-PBE).

extended XYZ file:
```
11
Lattice="6.604 -0.652 -0.456 0.186 7.335 0.285 0.186 2.792 6.789" Properties=species:S:1:pos:R:3 pbc="T T T"
Cl 5.685 6.811 1.844
Cl 5.685 4.076 5.761
Cl 2.669 6.259 4.372
Cl 1.599 1.171 0.818
Cl 4.307 3.216 2.246
Cl 1.291 5.400 0.858
Cl 5.377 8.305 5.801
Cl 1.291 2.664 4.774
Cu 4.935 1.592 1.112
Cu 2.040 7.883 5.507
Si 0.000 0.000 0.000
```

Properties
The uncorrected energy comes out at -35.1 eV/cell. As for the calculated volume: 29.53 Å³ per atom. For the formation energy (no corrections), the calculation gives -6.7 eV/f.u.

=====

5.
Entry from Alexandria: an optimized crystal structure of LiMg2NiC (GGA-PBE).

extended XYZ file:
```
5
Lattice="-0.778 1.185 -4.047 1.981 -3.232 -1.327 -3.648 -2.253 0.042" Properties=species:S:1:pos:R:3 pbc="T T T"
Ni -1.222 -2.150 -2.666
Mg -0.389 0.592 -2.023
Mg -1.824 -1.127 0.021
Li 0.991 -1.616 -0.664
C 0.000 0.000 0.000
```

Properties
The value obtained for the formation energy is 0.44 eV per atom. The uncorrected energy comes out at -17.9 eV/cell. As for the calculated volume: 14.77 Å³ per atom. The energy relative to the lowest polymorph listed for this composition comes out at 351 meV per atom.

=====

6.
Entry from Alexandria: an optimized crystal structure of Tm7Hg2Te2 (GGA-PBE).

extended XYZ file:
```
11
Lattice="6.764 -0.497 -0.657 -0.527 7.309 0.501 -1.077 0.492 6.710" Properties=species:S:1:pos:R:3 pbc="T T T"
Tm 3.391 5.002 0.230
Tm 0.000 0.000 0.000
Tm 1.769 2.301 6.324
Tm 5.673 5.000 2.659
Tm -0.512 2.303 3.896
Tm 2.329 5.265 3.515
Tm 2.832 2.038 3.039
Te 4.532 0.099 1.441
Te 0.629 7.204 5.114
Hg 0.766 3.653 1.346
Hg 4.395 3.650 5.209
```

Properties
The uncorrected energy comes out at -41.8 eV/cell. As for the calculated volume: 29.41 Å³ per atom. For the formation energy (no corrections), the calculation gives -3.7 eV/f.u. The energy relative to the lowest polymorph listed for this composition comes out at 300 meV per atom.

=====

7.
Entry from Alexandria: an optimized crystal structure of BaAgTe2 (GGA-PBE).

extended XYZ file:
```
4
Lattice="2.475 0.000 9.755 -1.238 2.144 9.755 -1.238 -2.144 9.755" Properties=species:S:1:pos:R:3 pbc="T T T"
Ba 0.000 0.000 0.000
Ag 0.000 0.000 14.633
Te 0.000 0.000 3.355
Te 0.000 0.000 25.911
```

Properties
The uncorrected energy comes out at -11.5 eV/cell. As for the calculated volume: 38.82 Å³ per atom. For the formation energy (no corrections), the calculation gives -0.4 eV/f.u.

=====

8.
Entry from Alexandria: an optimized crystal structure of RbNa2Sn10 (GGA-PBE).

extended XYZ file:
```
13
Lattice="5.540 0.000 2.949 2.770 7.581 1.475 -1.239 0.000 9.005" Properties=species:S:1:pos:R:3 pbc="T T T"
Sn 4.098 2.699 5.657
Sn 2.973 4.882 7.772
Sn 4.155 3.791 2.212
Sn 5.345 5.574 9.994
Sn 6.868 4.882 7.132
Sn 2.575 2.007 8.519
Sn 1.385 3.791 0.737
Sn 1.726 2.007 3.435
Sn 4.496 5.574 4.910
Sn 0.203 2.699 6.297
Na -0.619 0.000 4.502
Na 2.150 0.000 5.977
Rb 0.000 0.000 0.000
```

Properties
The value obtained for the formation energy is -0.07 eV per atom. The uncorrected energy comes out at -44.5 eV/cell. As for the calculated volume: 31.22 Å³ per atom.